First-principles (PBE-GGA) data for a relaxed LiNd4Mg5 crystal, as listed in Alexandria.

Summary:
Energy relative to the elements (meV/atom): -82
V (Å³/cell): 280.2
DOS(E_F) (states/eV/f.u.): 8.9
Magnetic moment (μB/atom): 0.00

a = 3.828 Å, b = 3.828 Å, c = 19.121 Å
α = 90.00°, β = 90.00°, γ = 90.00°
Space group P4/mmm (No. 123)
Unique sites:
Li1 0.000 0.000 0.000
Nd1 0.000 0.000 0.193
Nd2 0.000 0.000 0.396
Mg1 0.500 0.500 0.084
Mg2 0.500 0.500 0.294
Mg3 0.500 0.500 0.500

***

First-principles (PBE-GGA) data for a relaxed Sm8Co2Bi crystal, as listed in Alexandria.

Summary:
Energy relative to the elements (meV/atom): -136
V (Å³/cell): 631.8
DOS(E_F) (states/eV/f.u.): 12.8
Magnetic moment (μB/atom): 0.00

a = 8.631 Å, b = 13.567 Å, c = 5.542 Å
α = 90.00°, β = 103.15°, γ = 90.00°
Space group C2/m (No. 12)
Unique sites:
Sm1 0.000 0.249 0.000
Sm2 0.100 0.000 0.798
Sm3 0.205 0.370 0.568
Co1 0.000 0.203 0.500
Bi1 0.000 0.500 0.000

***

First-principles (PBE-GGA) data for a relaxed TeC3 crystal, as listed in Alexandria.

Summary:
Formation energy (no corrections) (kcal/mol of atoms): 83.4
V (Å³/cell): 90.8
DOS(E_F) (states/eV/f.u.): 4.1
Excess energy over the best structure of this formula in the dataset (meV per atom): 2649
Magnetic moment (μB/atom): 0.14

a = 4.495 Å, b = 4.495 Å, c = 4.495 Å
α = 90.00°, β = 90.00°, γ = 90.00°
Space group Pm-3n (No. 223)
Unique sites:
Te1 0.000 0.000 0.000
C1 0.000 0.250 0.500